1.
Compound: YHfTe2
Source: Alexandria
Functional: PBE
Structure: relaxed

Output
raw formation energy: -3.173 eV per formula unit
energy above the lowest structure with this stoichiometry: 0 meV per atom
symmetry: No. 225

Cell lengths 7.305, 7.305, 7.305 Å; angles 90.00, 90.00, 90.00 degrees
Sites, in units of the cell vectors:
Y 0.000 0.000 0.000
Y 0.000 0.500 0.500
Y 0.500 0.000 0.500
Y 0.500 0.500 0.000
Hf 0.000 0.000 0.500
Hf 0.000 0.500 0.000
Hf 0.500 0.000 0.000
Hf 0.500 0.500 0.500
Te 0.250 0.250 0.250
Te 0.250 0.250 0.750
Te 0.250 0.750 0.250
Te 0.250 0.750 0.750
Te 0.750 0.250 0.250
Te 0.750 0.250 0.750
Te 0.750 0.750 0.250
Te 0.750 0.750 0.750

=====

2.
Compound: Y2Hf2Te
Source: Alexandria
Functional: PBE
Structure: relaxed

Output
raw formation energy: 0.680 eV per formula unit
energy above the lowest structure with this stoichiometry: 180 meV per atom
symmetry: No. 127

Cell lengths 7.817, 7.817, 4.577 Å; angles 90.00, 90.00, 90.00 degrees
Sites, in units of the cell vectors:
Y 0.152 0.348 0.000
Y 0.348 0.848 0.000
Y 0.652 0.152 0.000
Y 0.848 0.652 0.000
Hf 0.137 0.637 0.500
Hf 0.363 0.137 0.500
Hf 0.637 0.863 0.500
Hf 0.863 0.363 0.500
Te 0.000 0.000 0.000
Te 0.500 0.500 0.000

=====

3.
Compound: YHfTe3
Source: Alexandria
Functional: PBE
Structure: relaxed

Output
raw formation energy: -4.407 eV per formula unit
energy above the lowest structure with this stoichiometry: 0 meV per atom
symmetry: No. 40

Cell lengths 5.513, 10.070, 10.070 Å; angles 146.66, 90.00, 90.00 degrees
Sites, in units of the cell vectors:
Y 0.250 0.151 0.849
Y 0.750 0.849 0.151
Hf 0.250 0.370 0.500
Hf 0.750 0.500 0.370
Te 0.250 0.045 0.469
Te 0.250 0.571 0.395
Te 0.250 0.872 0.992
Te 0.750 0.395 0.571
Te 0.750 0.469 0.045
Te 0.750 0.992 0.872

=====

4.
Compound: YHfTe2
Source: Alexandria
Functional: PBE
Structure: relaxed

Output
raw formation energy: -2.184 eV per formula unit
energy above the lowest structure with this stoichiometry: 247 meV per atom
symmetry: No. 166

Cell lengths 3.895, 3.895, 29.193 Å; angles 90.00, 90.00, 120.00 degrees
Sites, in units of the cell vectors:
Y 0.000 0.000 0.000
Y 0.333 0.667 0.667
Y 0.667 0.333 0.333
Hf 0.000 0.000 0.500
Hf 0.333 0.667 0.167
Hf 0.667 0.333 0.833
Te 0.000 0.000 0.105
Te 0.000 0.000 0.895
Te 0.333 0.667 0.562
Te 0.333 0.667 0.771
Te 0.667 0.333 0.229
Te 0.667 0.333 0.438

=====

5.
Compound: HfZn2Te2
Source: Alexandria
Functional: PBE
Structure: relaxed

Output
raw formation energy: -0.955 eV per formula unit
energy above the lowest structure with this stoichiometry: 0 meV per atom
symmetry: No. 139

Cell lengths 3.578, 3.578, 19.038 Å; angles 90.00, 90.00, 90.00 degrees
Sites, in units of the cell vectors:
Hf 0.000 0.000 0.000
Hf 0.500 0.500 0.500
Zn 0.000 0.500 0.250
Zn 0.000 0.500 0.750
Zn 0.500 0.000 0.250
Zn 0.500 0.000 0.750
Te 0.000 0.000 0.410
Te 0.000 0.000 0.590
Te 0.500 0.500 0.090
Te 0.500 0.500 0.910

=====

6.
Compound: Hf2Zn2Te
Source: Alexandria
Functional: PBE
Structure: relaxed

Output
raw formation energy: -0.677 eV per formula unit
symmetry: No. 127

Cell lengths 7.294, 7.294, 3.998 Å; angles 90.00, 90.00, 90.00 degrees
Sites, in units of the cell vectors:
Hf 0.154 0.346 0.000
Hf 0.346 0.846 0.000
Hf 0.654 0.154 0.000
Hf 0.846 0.654 0.000
Zn 0.137 0.637 0.500
Zn 0.363 0.137 0.500
Zn 0.637 0.863 0.500
Zn 0.863 0.363 0.500
Te 0.000 0.000 0.000
Te 0.500 0.500 0.000

=====

7.
Compound: HfZn2Te
Source: Alexandria
Functional: PBE
Structure: relaxed

Output
raw formation energy: 0.338 eV per formula unit
symmetry: No. 122

Cell lengths 7.787, 7.787, 5.642 Å; angles 90.00, 90.00, 90.00 degrees
Sites, in units of the cell vectors:
Hf 0.000 0.000 0.000
Hf 0.000 0.500 0.250
Hf 0.500 0.000 0.750
Hf 0.500 0.500 0.500
Zn 0.250 0.250 0.125
Zn 0.250 0.250 0.625
Zn 0.250 0.750 0.375
Zn 0.250 0.750 0.875
Zn 0.750 0.250 0.375
Zn 0.750 0.250 0.875
Zn 0.750 0.750 0.125
Zn 0.750 0.750 0.625
Te 0.000 0.000 0.500
Te 0.000 0.500 0.750
Te 0.500 0.000 0.250
Te 0.500 0.500 0.000

=====

8.
Compound: HfZnTe
Source: Alexandria
Functional: PBE
Structure: relaxed

Output
raw formation energy: -1.300 eV per formula unit
symmetry: No. 166

Cell lengths 9.717, 9.717, 9.717 Å; angles 25.62, 25.62, 25.62 degrees
Sites, in units of the cell vectors:
Hf 0.056 0.056 0.056
Hf 0.944 0.944 0.944
Zn 0.336 0.336 0.336
Zn 0.664 0.664 0.664
Te 0.225 0.225 0.225
Te 0.775 0.775 0.775